TePtSN2 PBE relaxed; DFT total energy = -4.88 eV per atom; distance to the lowest polymorph of the same formula = 0 meV/atom; crystal system = tetragonal
1.0
3.7697 0.0000 0.0000
0.0000 3.7697 0.0000
0.0000 0.0000 8.2546
Te Pt S N
1 1 1 2
direct
0.0000 0.0000 0.0000
0.0000 0.0000 0.5000
0.5000 0.5000 0.0000
0.0000 0.5000 0.5000
0.5000 0.0000 0.5000

***

TePtS2N PBE relaxed; DFT total energy = -3.72 eV per atom; distance to the lowest polymorph of the same formula = 758 meV/atom; crystal system = tetragonal
1.0
5.0645 0.0000 0.0000
0.0000 5.0645 0.0000
0.0000 0.0000 3.8052
Te Pt S N
1 1 2 1
direct
0.0000 0.0000 0.0000
0.5000 0.5000 0.5000
0.0000 0.5000 0.0000
0.5000 0.0000 0.0000
0.0000 0.0000 0.5000

***

TePtS2N PBE relaxed; DFT total energy = -4.47 eV per atom; distance to the lowest polymorph of the same formula = 0 meV/atom; crystal system = tetragonal
1.0
5.0246 0.0000 0.0000
0.0000 5.0246 0.0000
0.0000 0.0000 3.6996
Te Pt S N
1 1 2 1
direct
0.0000 0.0000 0.0000
0.5000 0.5000 0.5000
0.0000 0.5000 0.5000
0.5000 0.0000 0.5000
0.5000 0.5000 0.0000